(1)
First-principles (PBE) data for an optimized crystal structure of Y3HoIn2, as listed in Alexandria.

Calculated values
* size of the total moment: 0.00 μB/cell
* volume: 342.49 Å³ per cell
* formation energy from the elements: -384 meV/atom
* space group: Pmc2_1 (26)
* energy relative to the lowest polymorph listed for this composition: 0.000 eV per atom

Cell: 5.195 9.799 6.728 Å, 90.00 90.00 90.00°
Positions (direct):
Y1 0.000 0.036 0.000
Y2 0.000 0.321 0.344
Y3 0.000 0.679 0.844
Y4 0.000 0.964 0.500
Y5 0.500 0.181 0.720
Y6 0.500 0.819 0.220
Ho1 0.500 0.463 0.064
Ho2 0.500 0.537 0.564
In1 0.000 0.357 0.820
In2 0.000 0.643 0.320
In3 0.500 0.143 0.244
In4 0.500 0.857 0.744

***

(2)
First-principles (PBE) data for an optimized crystal structure of Ta2W3, as listed in Alexandria.

Calculated values
* size of the total moment: 0.00 μB/cell
* volume: 168.28 Å³ per cell
* formation energy from the elements: -103 meV/atom
* space group: P4/mmm (123)
* energy relative to the lowest polymorph listed for this composition: 0.000 eV per atom

Cell: 3.228 3.228 16.146 Å, 90.00 90.00 90.00°
Positions (direct):
Ta1 0.000 0.000 0.101
Ta2 0.000 0.000 0.301
Ta3 0.000 0.000 0.699
Ta4 0.000 0.000 0.899
W1 0.000 0.000 0.500
W2 0.500 0.500 0.000
W3 0.500 0.500 0.202
W4 0.500 0.500 0.403
W5 0.500 0.500 0.597
W6 0.500 0.500 0.798

***

(3)
First-principles (PBE) data for an optimized crystal structure of BeRuRhW, as listed in Alexandria.

Calculated values
* size of the total moment: 0.00 μB/cell
* volume: 54.20 Å³ per cell
* formation energy from the elements: -135 meV/atom
* space group: F-43m (216)

Cell: 4.248 4.248 4.248 Å, 60.00 60.00 60.00°
Positions (direct):
Be1 0.000 0.000 0.000
Ru1 0.750 0.750 0.750
Rh1 0.250 0.250 0.250
W1 0.500 0.500 0.500

***

(4)
First-principles (PBE) data for an optimized crystal structure of MnGaReTc, as listed in Alexandria.

Calculated values
* size of the total moment: 1.58 μB/cell
* volume: 55.65 Å³ per cell
* formation energy from the elements: 35 meV/atom
* space group: F-43m (216)

Cell: 4.285 4.285 4.285 Å, 60.00 60.00 60.00°
Positions (direct):
Mn1 0.000 0.000 0.000
Ga1 0.500 0.500 0.500
Re1 0.750 0.750 0.750
Tc1 0.250 0.250 0.250

***

(5)
First-principles (PBE) data for an optimized crystal structure of KZnNi2, as listed in Alexandria.

Calculated values
* size of the total moment: 0.00 μB/cell
* volume: 68.80 Å³ per cell
* formation energy from the elements: 808 meV/atom
* space group: F-43m (216)
* energy relative to the lowest polymorph listed for this composition: 0.500 eV per atom

Cell: 4.599 4.599 4.599 Å, 60.00 60.00 60.00°
Positions (direct):
K1 0.000 0.000 0.000
Zn1 0.250 0.250 0.250
Ni1 0.500 0.500 0.500
Ni2 0.750 0.750 0.750

***

(6)
First-principles (PBE) data for an optimized crystal structure of ErGe2Mo, as listed in Alexandria.

Calculated values
* size of the total moment: 0.00 μB/cell
* volume: 79.48 Å³ per cell
* formation energy from the elements: -269 meV/atom
* space group: R-3m (166)

Cell: 7.123 7.123 7.123 Å, 29.89 29.89 29.89°
Positions (direct):
Er1 0.000 0.000 0.000
Ge1 0.240 0.240 0.240
Ge2 0.760 0.760 0.760
Mo1 0.500 0.500 0.500